The following is a PBE calculation of crystalline AlRe2 at its relaxed geometry, from OQMD via LeMat-Bulk.

Lattice parameters (Å, degrees): 9.5054 9.5054 4.9131 90.00 90.00 90.00
Space group P4_2/mnm (No. 136)
Asymmetric unit:
Al (0.0000, 0.0000, 0.0000)
Al (0.1825, 0.1825, 0.2491)
Re (0.0377, 0.6312, 0.5000)
Re (0.0680, 0.7396, 0.0000)
Re (0.0913, 0.9087, 0.5000)

Calculated values
Electronic total energy ... -9.571 eV/atom
Total magnetic moment ... 0.0 Bohr magnetons per cell

=====

The following is a PBE calculation of crystalline CuSnHg at its relaxed geometry, from OQMD via LeMat-Bulk.

Lattice parameters (Å, degrees): 6.3902 6.3902 6.3902 90.00 90.00 90.00
Space group F-43m (No. 216)
Asymmetric unit:
Cu (0.0000, 0.0000, 0.0000)
Sn (0.2500, 0.2500, 0.2500)
Hg (0.2500, 0.2500, 0.7500)

Calculated values
Energy above the lowest structure with this stoichiometry ... 0 meV/atom